DFT (PBE) results for a relaxed structure of Na4TbDy3Te8.

a = 8.8615 Å, b = 9.1350 Å, c = 8.8619 Å
α = 119.04°, β = 120.00°, γ = 90.00°
Sites, in units of the cell vectors:
Te1 0.2446 0.7323 0.4892
Te2 0.2568 0.2677 0.0121
Te3 0.2560 0.2682 0.5120
Te4 0.7554 0.2677 0.5108
Te5 0.2446 0.7323 0.9879
Te6 0.7554 0.2677 0.0121
Te7 0.7440 0.7318 0.4880
Te8 0.7432 0.7323 0.9879
Na1 0.0000 0.0000 0.0000
Na2 0.5000 0.0000 0.0000
Na3 0.0000 0.0000 0.5000
Na4 0.5000 0.0000 0.5000
Dy1 0.5000 0.5000 0.0000
Dy2 0.5000 0.5000 0.5000
Dy3 0.0000 0.5000 0.5000
Tb1 0.0000 0.5000 0.0000

Summary:
Its space-group type is R-3m, No. 166. Its density is 5.7 g/cm³. Its uncorrected formation energy is -1.318 eV/atom.